1.
# Lu2FeIr | OQMD | PBE | relaxed
# Energy of formation from the pure elements (eV per atom): -0.104
data_Lu2FeIr
_chemical_formula_sum 'Lu2 Fe1 Ir1'
_cell_length_a 4.673
_cell_length_b 4.673
_cell_length_c 4.673
_cell_angle_alpha 60.00
_cell_angle_beta 60.00
_cell_angle_gamma 60.00
_space_group_name_H-M_alt 'P 1'
_space_group_IT_number 1
loop_
_space_group_symop_operation_xyz
'x,y,z'
loop_
_atom_site_label
_atom_site_type_symbol
_atom_site_fract_x
_atom_site_fract_y
_atom_site_fract_z
Lu1 Lu 0.000 0.000 0.000
Lu2 Lu 0.250 0.250 0.250
Fe1 Fe 0.750 0.750 0.750
Ir1 Ir 0.500 0.500 0.500


2.
# RbErFeTe3 | OQMD | PBE | relaxed
# Calculated total energy (eV per atom): -4.7560
data_RbErFeTe3
_chemical_formula_sum 'Rb2 Er2 Fe2 Te6'
_cell_length_a 9.902
_cell_length_b 4.293
_cell_length_c 10.835
_cell_angle_alpha 90.00
_cell_angle_beta 112.10
_cell_angle_gamma 90.00
_space_group_name_H-M_alt 'P 1'
_space_group_IT_number 1
loop_
_space_group_symop_operation_xyz
'x,y,z'
loop_
_atom_site_label
_atom_site_type_symbol
_atom_site_fract_x
_atom_site_fract_y
_atom_site_fract_z
Rb1 Rb 0.221 0.250 0.255
Rb2 Rb 0.779 0.750 0.745
Er1 Er 0.330 0.750 0.854
Er2 Er 0.670 0.250 0.146
Fe1 Fe 0.067 0.250 0.579
Fe2 Fe 0.933 0.750 0.421
Te1 Te 0.104 0.250 0.835
Te2 Te 0.218 0.750 0.544
Te3 Te 0.456 0.750 0.155
Te4 Te 0.544 0.250 0.845
Te5 Te 0.782 0.250 0.456
Te6 Te 0.896 0.750 0.165